No. 1
DFT (PBE) results for CaDy2Y3Te6 after structural relaxation.

## Properties
D(E_F), states/eV/atom: 0.490
M_tot, μB per cell: 0.00
Space group: C2/m, No. 12
Uncorrected formation energy, eV/atom: -1.354

a = 4.377 Å, b = 8.779 Å, c = 9.803 Å
α = 103.18°, β = 102.90°, γ = 90.00°
Fractional positions:
Ca  0.500  0.000  0.000
Te  0.668  0.083  0.335
Te  0.332  0.917  0.665
Te  0.002  0.252  0.005
Te  0.665  0.581  0.329
Te  0.998  0.748  0.995
Te  0.335  0.419  0.671
Dy  0.171  0.342  0.343
Dy  0.829  0.658  0.657
Y  0.500  0.500  0.000
Y  0.166  0.824  0.332
Y  0.834  0.176  0.668



No. 2
DFT (PBE) results for CaBeFe2 after structural relaxation.

## Properties
D(E_F), states/eV/atom: 0.777
M_tot, μB per cell: 4.48
Space group: Imm2, No. 44
Energy relative to the elements, eV/f.u.: 2.18

a = 5.199 Å, b = 5.199 Å, c = 5.199 Å
α = 146.91°, β = 126.17°, γ = 64.66°
Site moments in Bohr magnetons follow the coordinates.
Fractional positions:
Ca  0.254  0.754  0.500  -0.08
Fe  0.960  0.960  0.000  2.66
Fe  0.743  0.243  0.500  2.13
Be  0.542  0.542  0.000  -0.07



Which value of M_tot does entry 2 give?
4.48 μB per cell